# Nb6AlMo

A geometry-optimized Nb6AlMo structure (GGA-PBE, Alexandria).

Lattice parameters (Å, degrees): 4.6647 4.6647 12.9863 90.00 90.00 90.00
Space group I4/mmm (No. 139)
Unique sites:
Nb 0.0000 0.0000 0.2472 (multiplicity 4)
Nb 0.0000 0.5000 0.1242 (multiplicity 8)
Al 0.0000 0.0000 0.0000 (multiplicity 2)
Mo 0.0000 0.0000 0.5000 (multiplicity 2)

Results
DFT formation energy: -0.08 eV per atom
Energy relative to the lowest polymorph listed for this composition: 40.7 kJ/mol of formula units
Crystal system: tetragonal